A plane-wave DFT calculation with GGA-PBE was carried out for a geometry-optimized SnTeC2 structure.

Output
Symmetry   Fm-3m, No. 225
Raw formation energy   2.2862 eV per atom

Cell: 4.4213 4.4213 4.4213 Å, 60.00 60.00 60.00°
Closest atoms and distances in Å follow each position.
Fractional positions:
1 Sn 0.0000 0.0000 0.0000  8 C 2.71
2 Te 0.5000 0.5000 0.5000  8 C 2.71
3 C 0.2500 0.2500 0.2500  4 Sn 2.71, 4 Te 2.71
4 C 0.7500 0.7500 0.7500  4 Sn 2.71, 4 Te 2.71